(1)
First-principles (PBE) data for AlCoOsAu after structural relaxation, as listed in OQMD via LeMat-Bulk.

Values from the calculation:
symmetry	No. 216

Lattice parameters (Å, degrees): 4.341 4.341 4.341 60.00 60.00 60.00
Atoms (fractional coordinates):
Os1 0.250 0.250 0.250
Al1 0.000 0.000 0.000
Au1 0.500 0.500 0.500
Co1 0.750 0.750 0.750

(2)
First-principles (PBE) data for AlCoPtAu after structural relaxation, as listed in OQMD via LeMat-Bulk.

Values from the calculation:
symmetry	No. 216

Lattice parameters (Å, degrees): 4.377 4.377 4.377 60.00 60.00 60.00
Atoms (fractional coordinates):
Co1 0.750 0.750 0.750
Al1 0.000 0.000 0.000
Pt1 0.250 0.250 0.250
Au1 0.500 0.500 0.500

(3)
First-principles (PBE) data for TaAlCoAu after structural relaxation, as listed in OQMD via LeMat-Bulk.

Values from the calculation:
symmetry	No. 216

Lattice parameters (Å, degrees): 4.435 4.435 4.435 60.00 60.00 60.00
Atoms (fractional coordinates):
Co1 0.750 0.750 0.750
Au1 0.250 0.250 0.250
Al1 0.000 0.000 0.000
Ta1 0.500 0.500 0.500

(4)
First-principles (PBE) data for TaAlCoAu after structural relaxation, as listed in OQMD via LeMat-Bulk.

Values from the calculation:
symmetry	No. 216

Lattice parameters (Å, degrees): 4.371 4.371 4.371 60.00 60.00 60.00
Atoms (fractional coordinates):
Co1 0.000 0.000 0.000
Al1 0.500 0.500 0.500
Au1 0.750 0.750 0.750
Ta1 0.250 0.250 0.250

(5)
First-principles (PBE) data for TaAlCoAu after structural relaxation, as listed in OQMD via LeMat-Bulk.

Values from the calculation:
symmetry	No. 216

Lattice parameters (Å, degrees): 4.418 4.418 4.418 60.00 60.00 60.00
Atoms (fractional coordinates):
Co1 0.000 0.000 0.000
Au1 0.750 0.750 0.750
Ta1 0.500 0.500 0.500
Al1 0.250 0.250 0.250

(6)
First-principles (PBE) data for AlCoTcAu after structural relaxation, as listed in OQMD via LeMat-Bulk.

Values from the calculation:
symmetry	No. 216

Lattice parameters (Å, degrees): 4.340 4.340 4.340 60.00 60.00 60.00
Atoms (fractional coordinates):
Au1 0.500 0.500 0.500
Al1 0.000 0.000 0.000
Co1 0.750 0.750 0.750
Tc1 0.250 0.250 0.250

(7)
First-principles (PBE) data for AlCoWAu after structural relaxation, as listed in OQMD via LeMat-Bulk.

Values from the calculation:
symmetry	No. 216

Lattice parameters (Å, degrees): 4.359 4.359 4.359 60.00 60.00 60.00
Atoms (fractional coordinates):
Co1 0.750 0.750 0.750
Au1 0.500 0.500 0.500
Al1 0.000 0.000 0.000
W1 0.250 0.250 0.250

(8)
First-principles (PBE) data for AlCoWAu after structural relaxation, as listed in OQMD via LeMat-Bulk.

Values from the calculation:
symmetry	No. 216

Lattice parameters (Å, degrees): 4.380 4.380 4.380 60.00 60.00 60.00
Atoms (fractional coordinates):
Co1 0.750 0.750 0.750
W1 0.500 0.500 0.500
Al1 0.000 0.000 0.000
Au1 0.250 0.250 0.250

(9)
First-principles (PBE) data for Y2Al4CoAu after structural relaxation, as listed in OQMD via LeMat-Bulk.

Values from the calculation:
symmetry	No. 38

Lattice parameters (Å, degrees): 7.005 5.590 5.590 43.99 90.00 90.00
Atoms (fractional coordinates):
Y1 0.500 0.937 0.937
Y2 0.000 0.068 0.068
Co1 0.500 0.212 0.212
Al1 0.316 0.650 0.650
Al2 0.210 0.349 0.349
Al3 0.790 0.349 0.349
Al4 0.684 0.650 0.650
Au1 0.000 0.786 0.786

(10)
First-principles (PBE) data for YAlCoAu after structural relaxation, as listed in OQMD via LeMat-Bulk.

Values from the calculation:
symmetry	No. 216

Lattice parameters (Å, degrees): 4.698 4.698 4.698 60.00 60.00 60.00
Atoms (fractional coordinates):
Au1 0.500 0.500 0.500
Al1 0.000 0.000 0.000
Co1 0.750 0.750 0.750
Y1 0.250 0.250 0.250

(11)
First-principles (PBE) data for YAlCoAu after structural relaxation, as listed in OQMD via LeMat-Bulk.

Values from the calculation:
symmetry	No. 216

Lattice parameters (Å, degrees): 4.657 4.657 4.657 60.00 60.00 60.00
Atoms (fractional coordinates):
Co1 0.750 0.750 0.750
Y1 0.500 0.500 0.500
Al1 0.000 0.000 0.000
Au1 0.250 0.250 0.250

(12)
First-principles (PBE) data for CsAlAu after structural relaxation, as listed in OQMD via LeMat-Bulk.

Values from the calculation:
symmetry	No. 216

Lattice parameters (Å, degrees): 5.401 5.401 5.401 60.00 60.00 60.00
Atoms (fractional coordinates):
Au1 0.000 0.000 0.000
Al1 0.250 0.250 0.250
Cs1 0.750 0.750 0.750

(13)
First-principles (PBE) data for CsAlAu after structural relaxation, as listed in OQMD via LeMat-Bulk.

Values from the calculation:
symmetry	No. 216

Lattice parameters (Å, degrees): 5.700 5.700 5.700 60.00 60.00 60.00
Atoms (fractional coordinates):
Cs1 0.000 0.000 0.000
Au1 0.750 0.750 0.750
Al1 0.250 0.250 0.250

(14)
First-principles (PBE) data for CsLuAlAu after structural relaxation, as listed in OQMD via LeMat-Bulk.

Values from the calculation:
symmetry	No. 216

Lattice parameters (Å, degrees): 5.305 5.305 5.305 60.00 60.00 60.00
Atoms (fractional coordinates):
Lu1 0.250 0.250 0.250
Al1 0.500 0.500 0.500
Cs1 0.000 0.000 0.000
Au1 0.750 0.750 0.750

(15)
First-principles (PBE) data for CsLuAlAu after structural relaxation, as listed in OQMD via LeMat-Bulk.

Values from the calculation:
symmetry	No. 216

Lattice parameters (Å, degrees): 5.201 5.201 5.201 60.00 60.00 60.00
Atoms (fractional coordinates):
Au1 0.750 0.750 0.750
Al1 0.000 0.000 0.000
Cs1 0.250 0.250 0.250
Lu1 0.500 0.500 0.500

(16)
First-principles (PBE) data for CsLuAlAu after structural relaxation, as listed in OQMD via LeMat-Bulk.

Values from the calculation:
symmetry	No. 216

Lattice parameters (Å, degrees): 5.463 5.463 5.463 60.00 60.00 60.00
Atoms (fractional coordinates):
Au1 0.750 0.750 0.750
Al1 0.250 0.250 0.250
Cs1 0.000 0.000 0.000
Lu1 0.500 0.500 0.500

(17)
First-principles (PBE) data for CsScAlAu after structural relaxation, as listed in OQMD via LeMat-Bulk.

Values from the calculation:
symmetry	No. 216

Lattice parameters (Å, degrees): 5.224 5.224 5.224 60.00 60.00 60.00
Atoms (fractional coordinates):
Cs1 0.500 0.500 0.500
Al1 0.000 0.000 0.000
Au1 0.750 0.750 0.750
Sc1 0.250 0.250 0.250

(18)
First-principles (PBE) data for CsScAlAu after structural relaxation, as listed in OQMD via LeMat-Bulk.

Values from the calculation:
symmetry	No. 216

Lattice parameters (Å, degrees): 5.128 5.128 5.128 60.00 60.00 60.00
Atoms (fractional coordinates):
Cs1 0.250 0.250 0.250
Al1 0.500 0.500 0.500
Sc1 0.000 0.000 0.000
Au1 0.750 0.750 0.750

(19)
First-principles (PBE) data for CsAlTlAu after structural relaxation, as listed in OQMD via LeMat-Bulk.

Values from the calculation:
symmetry	No. 216

Lattice parameters (Å, degrees): 5.547 5.547 5.547 60.00 60.00 60.00
Atoms (fractional coordinates):
Cs1 0.000 0.000 0.000
Al1 0.500 0.500 0.500
Au1 0.750 0.750 0.750
Tl1 0.250 0.250 0.250

(20)
First-principles (PBE) data for CsAlTlAu after structural relaxation, as listed in OQMD via LeMat-Bulk.

Values from the calculation:
symmetry	No. 216

Lattice parameters (Å, degrees): 5.542 5.542 5.542 60.00 60.00 60.00
Atoms (fractional coordinates):
Cs1 0.000 0.000 0.000
Au1 0.750 0.750 0.750
Tl1 0.500 0.500 0.500
Al1 0.250 0.250 0.250

Values of energy, in order: -6.11 -5.25 -6.60 -6.58 -6.45 -5.99 -6.45 -6.52 -5.39 -5.30 -5.51 -2.23 -1.84 -2.72 -2.82 -2.81 -3.12 -3.19 -2.24 -2.21, all in eV/atom.